[1]
# LaAg2H2 PBE-GGA optimized geometry
# Total magnetic moment in Bohr magnetons per cell: 0.00
# Space-group type: P4/mbm
# E in eV per formula unit: -17.818
data_LaAg2H2
_chemical_formula_sum 'La2 Ag4 H4'
_symmetry_space_group_name_H-M 'P 1'
_symmetry_Int_Tables_number 1
_symmetry_space_group_name_Hall 'P 1'
_cell_length_a 6.076
_cell_length_b 6.076
_cell_length_c 4.681
_cell_angle_alpha 90.00
_cell_angle_beta 90.00
_cell_angle_gamma 90.00
loop_
_atom_site_label
_atom_site_fract_x
_atom_site_fract_y
_atom_site_fract_z
H1 0.153 0.653 0.000
H2 0.653 0.847 0.000
H3 0.847 0.347 0.000
H4 0.347 0.153 0.000
La1 0.000 0.000 0.000
La2 0.500 0.500 0.000
Ag1 0.837 0.337 0.500
Ag2 0.663 0.837 0.500
Ag3 0.337 0.163 0.500
Ag4 0.163 0.663 0.500

[2]
# La2AgH PBE-GGA optimized geometry
# ΔE to the lowest computed polymorph in meV per atom: 277.7
# Total magnetic moment in Bohr magnetons per cell: 0.82
# Space-group type: Fm-3m
data_La2AgH
_chemical_formula_sum 'La2 Ag1 H1'
_symmetry_space_group_name_H-M 'P 1'
_symmetry_Int_Tables_number 1
_symmetry_space_group_name_Hall 'P 1'
_cell_length_a 5.181
_cell_length_b 5.181
_cell_length_c 5.181
_cell_angle_alpha 60.00
_cell_angle_beta 60.00
_cell_angle_gamma 60.00
loop_
_atom_site_label
_atom_site_fract_x
_atom_site_fract_y
_atom_site_fract_z
Ag1 0.500 0.500 0.500
La1 0.250 0.250 0.250
La2 0.750 0.750 0.750
H1 0.000 0.000 0.000

[3]
# LaAgH PBE-GGA optimized geometry
# ΔE to the lowest computed polymorph in meV per atom: 643.7
# Total magnetic moment in Bohr magnetons per cell: 0.03
# Space-group type: Immm
data_LaAgH
_chemical_formula_sum 'La2 Ag2 H2'
_symmetry_space_group_name_H-M 'P 1'
_symmetry_Int_Tables_number 1
_symmetry_space_group_name_Hall 'P 1'
_cell_length_a 4.937
_cell_length_b 3.215
_cell_length_c 9.121
_cell_angle_alpha 100.15
_cell_angle_beta 105.70
_cell_angle_gamma 90.00
loop_
_atom_site_label
_atom_site_fract_x
_atom_site_fract_y
_atom_site_fract_z
La1 0.172 0.672 0.344
La2 0.828 0.328 0.656
Ag1 0.749 0.500 0.000
Ag2 0.251 0.500 0.000
H1 0.311 0.811 0.622
H2 0.689 0.189 0.378

[4]
# La2AgH4 PBE-GGA optimized geometry
# Total magnetic moment in Bohr magnetons per cell: 0.00
# Space-group type: I4/mmm
# E in eV per formula unit: -27.882
data_La2AgH4
_chemical_formula_sum 'La2 Ag1 H4'
_symmetry_space_group_name_H-M 'P 1'
_symmetry_Int_Tables_number 1
_symmetry_space_group_name_Hall 'P 1'
_cell_length_a 3.805
_cell_length_b 3.805
_cell_length_c 7.412
_cell_angle_alpha 75.13
_cell_angle_beta 75.13
_cell_angle_gamma 90.00
loop_
_atom_site_label
_atom_site_fract_x
_atom_site_fract_y
_atom_site_fract_z
La1 0.651 0.651 0.697
La2 0.349 0.349 0.303
H1 0.828 0.828 0.343
H2 0.172 0.172 0.657
H3 0.000 0.500 0.000
H4 0.500 0.000 0.000
Ag1 0.000 0.000 0.000